## NaMgF3 (PBE-GGA)

Data for crystalline NaMgF3 at its relaxed geometry.

Results
- energy relative to the elements, uncorrected (eV/atom) = -2.263
- crystal system = cubic

Unit cell a=4.0249 b=4.0249 c=4.0249 alpha=90.00 beta=90.00 gamma=90.00
Last column: nearest neighbours and their distance in Å.
Space group Pm-3m (No. 221)
Asymmetric unit:
1 Na 0.0000 0.0000 0.0000 [1 per cell]  6 F 2.01
2 Mg 0.5000 0.5000 0.5000 [1 per cell]  12 F 2.85
3 F 0.0000 0.0000 0.5000 [3 per cell]  2 Na 2.01

## Y2TaPb (PBE-GGA)

Data for crystalline Y2TaPb at its relaxed geometry.

Results
- crystal system = monoclinic
- calculated formation energy (eV/f.u.) = 0.23

Unit cell a=3.4289 b=4.1954 c=7.2146 alpha=90.00 beta=90.08 gamma=90.00
Last column: nearest neighbours and their distance in Å.
Space group P2/m (No. 10)
Asymmetric unit:
1 Y 0.9998 0.0000 0.2388 [2 per cell]  4 Ta 3.21, 4 Pb 3.30, 3 Y 3.43-3.45
2 Ta 0.5000 0.5000 0.0000 [1 per cell]  8 Y 3.21, 2 Ta 3.43
3 Pb 0.5000 0.5000 0.5000 [1 per cell]  8 Y 3.30, 2 Pb 3.43, 2 Ta 3.61

## PmDyTm2Sc4 (PBE-GGA)

Data for crystalline PmDyTm2Sc4 at its relaxed geometry.

Results
- crystal system = monoclinic
- calculated formation energy (eV/f.u.) = 3.53

Unit cell a=12.9994 b=12.6470 c=6.5117 alpha=90.00 beta=120.06 gamma=90.00
Last column: nearest neighbours and their distance in Å.
Space group C2/c (No. 15)
Asymmetric unit:
1 Pm 0.2500 0.2500 0.0000 [4 per cell]  6 Sc 3.18-3.25, 2 Tm 3.26
2 Dy 0.0000 0.0000 0.0000 [4 per cell]  6 Sc 3.18-3.27, 2 Dy 3.26
3 Tm 0.0000 0.5000 0.0000 [4 per cell]  6 Sc 3.14-3.24, 2 Tm 3.26
4 Tm 0.2500 0.2500 0.5000 [4 per cell]  6 Sc 3.14-3.25, 2 Pm 3.26
5 Sc 0.9999 0.2518 0.0009 [8 per cell]  3 Tm 3.14-3.25, 1 Dy 3.18, 2 Sc 3.24-3.27, 2 Pm 3.25
6 Sc 0.2486 0.4983 0.4977 [8 per cell]  3 Tm 3.14-3.24, 1 Pm 3.18, 2 Sc 3.26, 2 Dy 3.26-3.27

## Mg2BeZnHg (PBE-GGA)

Data for crystalline Mg2BeZnHg at its relaxed geometry.

Results
- crystal system = tetragonal
- calculated formation energy (eV/f.u.) = 1.37

Unit cell a=4.8770 b=4.8770 c=4.5284 alpha=90.00 beta=90.00 gamma=90.00
Last column: nearest neighbours and their distance in Å.
Space group P4/mmm (No. 123)
Asymmetric unit:
1 Mg 0.0000 0.5000 0.0000 [2 per cell]  2 Be 2.44
2 Be 0.0000 0.0000 0.0000 [1 per cell]  2 Hg 2.26, 4 Mg 2.44
3 Zn 0.5000 0.5000 0.5000 [1 per cell]  8 Mg 3.33, 4 Hg 3.45
4 Hg 0.0000 0.0000 0.5000 [1 per cell]  2 Be 2.26

## MnHg2Os (PBE-GGA)

Data for crystalline MnHg2Os at its relaxed geometry.

Results
- crystal system = monoclinic
- calculated formation energy (eV/f.u.) = 1.52

Unit cell a=2.9099 b=2.8671 c=8.5944 alpha=90.00 beta=99.52 gamma=90.00
Last column: nearest neighbours and their distance in Å.
Space group Pm (No. 6)
Asymmetric unit:
1 Mn 0.0000 0.0000 0.0000 [1 per cell]  4 Os 2.46
2 Hg 0.6208 0.5000 0.2458 [1 per cell]  6 Hg 2.87-3.13, 4 Mn 2.92
3 Hg 0.7941 0.0000 0.5735 [1 per cell]  6 Hg 2.87-3.13, 4 Os 3.03-3.04
4 Os 0.4210 0.5000 0.8380 [1 per cell]  4 Mn 2.46

## KSrW2 (PBE-GGA)

Data for crystalline KSrW2 at its relaxed geometry.

Results
- crystal system = orthorhombic
- calculated formation energy (eV/f.u.) = 4.31

Unit cell a=3.4610 b=5.2368 c=11.5686 alpha=90.00 beta=90.00 gamma=90.00
Last column: nearest neighbours and their distance in Å.
Space group Cmm2 (No. 35)
Asymmetric unit:
1 K 0.0000 0.0000 0.0000 [2 per cell]  6 K 3.14-3.46
2 Sr 0.0000 0.5000 0.3388 [2 per cell]  6 Sr 3.14-3.46, 2 W 3.25
3 W 0.0000 0.0000 0.5762 [2 per cell]  2 W 2.50
4 W 0.0000 0.5000 0.7325 [2 per cell]  2 W 2.50

## K2LiGa12Pt3 (PBE-GGA)

Data for crystalline K2LiGa12Pt3 at its relaxed geometry.

Results
- crystal system = trigonal
- calculated formation energy (eV/f.u.) = -2.98

Unit cell a=9.6975 b=9.6975 c=17.2747 alpha=90.00 beta=90.00 gamma=120.00
Last column: nearest neighbours and their distance in Å.
Space group R-3m (No. 166, hexagonal axes)
Asymmetric unit:
1 K 0.0000 0.0000 0.1207 [6 per cell]  3 Ga 3.25
2 Li 0.0000 0.0000 0.5000 [3 per cell]  6 Ga 2.59
3 Ga 0.0278 0.5139 0.1443 [18 per cell]  1 Pt 2.50, 1 Li 2.59, 2 Ga 2.68
4 Ga 0.1087 0.5543 0.3045 [18 per cell]  2 Pt 2.52
5 Pt 0.0000 0.5000 0.0000 [9 per cell]  6 Ga 2.50-2.52

## K3In3SbSe8 (PBE-GGA)

Data for crystalline K3In3SbSe8 at its relaxed geometry.

Results
- energy relative to the elements, uncorrected (eV/atom) = -0.723
- crystal system = trigonal

Unit cell a=8.0959 b=8.0959 c=23.6156 alpha=90.00 beta=90.00 gamma=120.00
Last column: nearest neighbours and their distance in Å.
Space group R-3m (No. 166, hexagonal axes)
Asymmetric unit:
1 K 0.0000 0.5000 0.0000 [9 per cell]  6 Se 3.34-3.35
2 In 0.0000 0.5000 0.5000 [9 per cell]  6 Se 2.80
3 Sb 0.0000 0.0000 0.5000 [3 per cell]  6 Se 2.83
4 Se 0.0000 0.0000 0.2318 [6 per cell]  3 In 2.80
5 Se 0.0031 0.5015 0.7672 [18 per cell]  2 In 2.80, 1 Sb 2.83